(1)
# La2PrSi

A geometry-optimized La2PrSi structure (GGA-PBE, the Alexandria database).

a = 4.1136 Å, b = 4.1136 Å, c = 28.7463 Å
α = 90.00°, β = 90.00°, γ = 120.00°
Space group R3m (No. 160, hexagonal axes)
Asymmetric unit:
La 0.0000 0.0000 0.0000 x3
La 0.0000 0.0000 0.2099 x3
Pr 0.0000 0.0000 0.4396 x3
Si 0.0000 0.0000 0.6045 x3

- energy relative to the lowest polymorph listed for this composition (meV per atom) = 219
- formation energy (no corrections) (kJ/mol of formula units) = -64

---

(2)
# TlCd2Sb2

A geometry-optimized TlCd2Sb2 structure (GGA-PBE, the Alexandria database).

a = 6.867 Å, b = 6.970 Å, c = 7.132 Å
α = 90.00°, β = 117.16°, γ = 90.00°
Space group C2/m (No. 12)
Asymmetric unit:
Tl 0.000 0.000 0.000 x2
Cd 0.000 0.287 0.500 x4
Sb 0.177 0.500 0.237 x4

- formation energy (no corrections) (kJ/mol of formula units) = 2

---

(3)
# Nb3Mo2W3

A geometry-optimized Nb3Mo2W3 structure (GGA-PBE, the Alexandria database).

a = 4.451 Å, b = 12.699 Å, c = 5.386 Å
α = 90.00°, β = 114.36°, γ = 90.00°
Space group P2_1/m (No. 11)
Asymmetric unit:
Nb 0.076 0.096 0.151 x4
Nb 0.257 0.250 0.516 x2
Mo 0.192 0.638 0.384 x4
W 0.364 0.028 0.728 x4
W 0.461 0.750 0.923 x2

- E_form (eV/atom) = 0.34
- energy relative to the lowest polymorph listed for this composition (meV per atom) = 437

---

(4)
# TlCoSnGe2

A geometry-optimized TlCoSnGe2 structure (GGA-PBE, the Alexandria database).

a = 4.618 Å, b = 4.618 Å, c = 5.178 Å
α = 90.00°, β = 90.00°, γ = 90.00°
Space group P4/mmm (No. 123)
Asymmetric unit:
Tl 0.000 0.000 0.000 x1
Co 0.500 0.500 0.500 x1
Sn 0.500 0.500 0.000 x1
Ge 0.000 0.500 0.500 x2

- E_form (eV/atom) = 0.14

---

(5)
# GaTeOsI2

A geometry-optimized GaTeOsI2 structure (GGA-PBE, the Alexandria database).

a = 5.474 Å, b = 5.474 Å, c = 5.535 Å
α = 90.00°, β = 90.00°, γ = 90.00°
Space group P4/mmm (No. 123)
Asymmetric unit:
Ga 0.000 0.000 0.000 x1
Te 0.000 0.000 0.500 x1
Os 0.500 0.500 0.500 x1
I 0.000 0.500 0.000 x2

- energy relative to the lowest polymorph listed for this composition (meV per atom) = 886
- formation energy (no corrections) (kJ/mol of formula units) = 663

---

(6)
# Rb2Pu3I10

A geometry-optimized Rb2Pu3I10 structure (GGA-PBE, the Alexandria database).

a = 28.925 Å, b = 8.994 Å, c = 12.046 Å
α = 90.00°, β = 110.70°, γ = 90.00°
Space group C2/m (No. 12)
Asymmetric unit:
Rb 0.131 0.000 0.200 x4
Rb 0.241 0.000 0.870 x4
Pu 0.000 0.243 0.500 x4
Pu 0.076 0.500 0.976 x4
Pu 0.180 0.500 0.531 x4
I 0.000 0.262 0.000 x4
I 0.012 0.000 0.691 x4
I 0.013 0.500 0.691 x4
I 0.114 0.237 0.554 x8
I 0.131 0.500 0.251 x4
I 0.145 0.250 0.960 x8
I 0.239 0.500 0.796 x4
I 0.250 0.250 0.500 x4

- formation energy (no corrections) (kJ/mol of formula units) = -1706

---

(7)
# TlC2Br

A geometry-optimized TlC2Br structure (GGA-PBE, the Alexandria database).

a = 5.095 Å, b = 5.095 Å, c = 11.658 Å
α = 90.00°, β = 90.00°, γ = 90.00°
Space group I-42d (No. 122)
Asymmetric unit:
Tl 0.000 0.000 0.000 x4
C 0.235 0.250 0.625 x8
Br 0.000 0.000 0.500 x4

- energy relative to the lowest polymorph listed for this composition (meV per atom) = 0
- formation energy (no corrections) (kJ/mol of formula units) = 928

---

(8)
# BaPmMgHg

A geometry-optimized BaPmMgHg structure (GGA-PBE, the Alexandria database).

a = 8.074 Å, b = 8.074 Å, c = 8.074 Å
α = 90.00°, β = 90.00°, γ = 90.00°
Space group F-43m (No. 216)
Asymmetric unit:
Ba 0.000 0.000 0.000 x4
Pm 0.000 0.000 0.500 x4
Mg 0.250 0.250 0.250 x4
Hg 0.250 0.250 0.750 x4

- E_form (eV/atom) = -0.17

---

(9)
# CrAgRu2

A geometry-optimized CrAgRu2 structure (GGA-PBE, the Alexandria database).

a = 2.757 Å, b = 3.958 Å, c = 5.452 Å
α = 90.00°, β = 100.45°, γ = 90.00°
Space group P2/m (No. 10)
Asymmetric unit:
Cr 0.000 0.000 0.000 x1
Ag 0.000 0.000 0.500 x1
Ru 0.381 0.500 0.223 x2

- E_form (eV/atom) = 0.46
- energy relative to the lowest polymorph listed for this composition (meV per atom) = 232

---

(10)
# Sc2Ga2Br

A geometry-optimized Sc2Ga2Br structure (GGA-PBE, the Alexandria database).

a = 7.288 Å, b = 7.288 Å, c = 4.043 Å
α = 90.00°, β = 90.00°, γ = 90.00°
Space group P4/mbm (No. 127)
Asymmetric unit:
Sc 0.172 0.328 0.000 x4
Ga 0.124 0.624 0.500 x4
Br 0.000 0.000 0.000 x2

- formation energy (no corrections) (kJ/mol of formula units) = -296

---

(11)
# CrCdCu2

A geometry-optimized CrCdCu2 structure (GGA-PBE, the Alexandria database).

a = 8.852 Å, b = 2.875 Å, c = 4.897 Å
α = 90.00°, β = 100.98°, γ = 90.00°
Space group C2/m (No. 12)
Asymmetric unit:
Cr 0.000 0.000 0.000 x2
Cd 0.000 0.500 0.500 x2
Cu 0.244 0.500 0.221 x4

- E_form (eV/atom) = 0.34

---

(12)
# Tb2Pr2Zn

A geometry-optimized Tb2Pr2Zn structure (GGA-PBE, the Alexandria database).

a = 3.629 Å, b = 3.629 Å, c = 22.860 Å
α = 90.00°, β = 90.00°, γ = 90.00°
Space group I4/mmm (No. 139)
Asymmetric unit:
Tb 0.000 0.000 0.076 x4
Pr 0.000 0.000 0.309 x4
Zn 0.000 0.000 0.500 x2

- E_form (eV/atom) = -0.13
- energy relative to the lowest polymorph listed for this composition (meV per atom) = 0

---

(13)
# TlAgHPb2

A geometry-optimized TlAgHPb2 structure (GGA-PBE, the Alexandria database).

a = 5.836 Å, b = 5.836 Å, c = 3.561 Å
α = 90.00°, β = 90.00°, γ = 90.00°
Space group P4/mmm (No. 123)
Asymmetric unit:
Tl 0.000 0.000 0.000 x1
Ag 0.500 0.500 0.500 x1
H 0.500 0.500 0.000 x1
Pb 0.000 0.500 0.500 x2

- energy relative to the lowest polymorph listed for this composition (meV per atom) = 23

---

(14)
# La2CuHg

A geometry-optimized La2CuHg structure (GGA-PBE, the Alexandria database).

a = 7.303 Å, b = 7.303 Å, c = 7.303 Å
α = 90.00°, β = 90.00°, γ = 90.00°
Space group F-43m (No. 216)
Asymmetric unit:
La 0.000 0.000 0.000 x4
La 0.250 0.250 0.250 x4
Cu 0.000 0.000 0.500 x4
Hg 0.250 0.250 0.750 x4

- E_form (eV/atom) = -0.06

---

(15)
# HfZnNO2

A geometry-optimized HfZnNO2 structure (GGA-PBE, the Alexandria database).

a = 4.046 Å, b = 4.046 Å, c = 4.302 Å
α = 90.00°, β = 90.00°, γ = 90.00°
Space group P4/mmm (No. 123)
Asymmetric unit:
Hf 0.000 0.000 0.000 x1
Zn 0.500 0.500 0.500 x1
N 0.000 0.000 0.500 x1
O 0.000 0.500 0.000 x2

- formation energy (no corrections) (kJ/mol of formula units) = -510

---

(16)
# Dy3Ag

A geometry-optimized Dy3Ag structure (GGA-PBE, the Alexandria database).

a = 7.597 Å, b = 7.597 Å, c = 7.597 Å
α = 90.00°, β = 90.00°, γ = 90.00°
Space group Fm-3m (No. 225)
Asymmetric unit:
Dy 0.000 0.000 0.000 x4
Dy 0.250 0.250 0.250 x8
Ag 0.000 0.000 0.500 x4

- E_form (eV/atom) = 0.07
- energy relative to the lowest polymorph listed for this composition (meV per atom) = 180

---

(17)
# Pu4Sb2Te

A geometry-optimized Pu4Sb2Te structure (GGA-PBE, the Alexandria database).

a = 9.296 Å, b = 9.296 Å, c = 9.312 Å
α = 90.00°, β = 90.00°, γ = 90.00°
Space group I-42d (No. 122)
Asymmetric unit:
Pu 0.079 0.672 0.450 x16
Sb 0.127 0.750 0.125 x8
Te 0.000 0.000 0.500 x4

- formation energy (no corrections) (kJ/mol of formula units) = -501

---

(18)
# Fe2SbN

A geometry-optimized Fe2SbN structure (GGA-PBE, the Alexandria database).

a = 5.011 Å, b = 5.011 Å, c = 9.155 Å
α = 90.00°, β = 90.00°, γ = 90.00°
Space group I-42d (No. 122)
Asymmetric unit:
Fe 0.125 0.250 0.125 x8
Sb 0.000 0.000 0.500 x4
N 0.000 0.000 0.000 x4

- energy relative to the lowest polymorph listed for this composition (meV per atom) = 0
- formation energy (no corrections) (kJ/mol of formula units) = 60

---

(19)
# Li2ZrMnS4

A geometry-optimized Li2ZrMnS4 structure (GGA-PBE, the Alexandria database).

a = 6.382 Å, b = 3.667 Å, c = 6.456 Å
α = 90.00°, β = 109.58°, γ = 90.00°
Space group P2/m (No. 10)
Asymmetric unit:
Li 0.000 0.000 0.000 x1
Li 0.500 0.500 0.000 x1
Zr 0.000 0.500 0.500 x1
Mn 0.500 0.000 0.500 x1
S 0.245 0.000 0.748 x2
S 0.257 0.500 0.266 x2

- formation energy (no corrections) (kJ/mol of formula units) = -953

---

(20)
# Na6Tl2Pt

A geometry-optimized Na6Tl2Pt structure (GGA-PBE, the Alexandria database).

a = 5.3604 Å, b = 5.3604 Å, c = 30.9740 Å
α = 90.00°, β = 90.00°, γ = 120.00°
Space group R-3m (No. 166, hexagonal axes)
Asymmetric unit:
Na 0.0000 0.0000 0.0850 x6
Na 0.0000 0.0000 0.1916 x6
Na 0.0000 0.0000 0.3077 x6
Tl 0.0000 0.0000 0.4127 x6
Pt 0.0000 0.0000 0.5000 x3

- E_form (eV/atom) = -0.09